VASP calculation (GGA+U) on an optimized crystal structure of Co3H18C8N6O8.

## Properties
DFT total energy = -257.70 eV/cell
space group = R-3, No. 148

a = 7.896 Å, b = 7.896 Å, c = 7.896 Å
α = 69.63°, β = 69.63°, γ = 69.63°
Atoms (fractional coordinates):
Co  0.000  0.000  0.000
Co  0.375  0.375  0.375
Co  0.625  0.625  0.625
H  0.047  0.711  0.875
H  0.080  0.092  0.631
H  0.092  0.631  0.080
H  0.107  0.749  0.297
H  0.125  0.953  0.289
H  0.251  0.703  0.893
H  0.289  0.125  0.953
H  0.297  0.107  0.749
H  0.369  0.920  0.908
H  0.631  0.080  0.092
H  0.703  0.893  0.251
H  0.711  0.875  0.047
H  0.749  0.297  0.107
H  0.875  0.047  0.711
H  0.893  0.251  0.703
H  0.908  0.369  0.920
H  0.920  0.908  0.369
H  0.953  0.289  0.125
C  0.221  0.445  0.570
C  0.277  0.277  0.277
C  0.430  0.779  0.555
C  0.445  0.570  0.221
C  0.555  0.430  0.779
C  0.570  0.221  0.445
C  0.723  0.723  0.723
C  0.779  0.555  0.430
N  0.043  0.890  0.268
N  0.110  0.732  0.957
N  0.268  0.043  0.890
N  0.732  0.957  0.110
N  0.890  0.268  0.043
N  0.957  0.110  0.732
O  0.125  0.490  0.707
O  0.211  0.211  0.211
O  0.293  0.875  0.510
O  0.490  0.707  0.125
O  0.510  0.293  0.875
O  0.707  0.125  0.490
O  0.789  0.789  0.789
O  0.875  0.510  0.293